# CuTe2Au2Br2 (PBE, relaxed)
# size of the total moment	0.00	μB per formula unit
# density	7.0	g cm⁻³
# uncorrected formation energy	-0.78	eV/f.u.
# crystal system	triclinic
data_CuTe2Au2Br2
_chemical_formula_sum 'Cu1 Te2 Au2 Br2'
_space_group_name_H-M_alt 'P -1'
_space_group_IT_number 2
_cell_length_a 4.423
_cell_length_b 6.761
_cell_length_c 7.403
_cell_angle_alpha 109.26
_cell_angle_beta 96.69
_cell_angle_gamma 94.16
loop_
_space_group_symop_operation_xyz
'x,y,z'
'-x,-y,-z'
loop_
_atom_site_label
_atom_site_type_symbol
_atom_site_fract_x
_atom_site_fract_y
_atom_site_fract_z
Cu1 Cu 0.000 0.000 0.000
Te1 Te 0.168 0.412 0.165
Au1 Au 0.278 0.530 0.617
Br1 Br 0.325 0.946 0.246